Record 1
NdZnCl | PBE | optimized geometry

Cell lengths 4.1674, 4.1674, 11.2802 Å; angles 79.36, 79.36, 60.00 degrees
Closest atoms and distances in Å follow each position.
Element x y z (fractional)
Cl: 0.2825 0.2825 0.1525  3 Nd 2.90
Cl: 0.7175 0.7175 0.8475  3 Nd 2.90
Zn: 0.1607 0.1607 0.5180  3 Zn 2.44
Zn: 0.8393 0.8393 0.4820  3 Zn 2.44
Nd: 0.4333 0.4333 0.7002  3 Cl 2.90, 3 Zn 3.13
Nd: 0.5667 0.5667 0.2998  3 Cl 2.90, 3 Zn 3.13

Properties
* space group: No. 166

Record 2
NdZnCl | PBE | optimized geometry

Cell lengths 4.0123, 7.4734, 10.3981 Å; angles 78.11, 101.12, 90.00 degrees
Closest atoms and distances in Å follow each position.
Element x y z (fractional)
Zn: 0.2044 0.8005 0.4087  3 Zn 2.51-2.62
Zn: 0.2322 0.1274 0.4644  5 Zn 2.51-2.76
Zn: 0.7956 0.1995 0.5913  3 Zn 2.51-2.62
Zn: 0.7678 0.8726 0.5356  5 Zn 2.51-2.76
Nd: 0.3315 0.4750 0.6630  3 Cl 2.91-3.00, 3 Zn 3.07-3.16
Nd: 0.6685 0.5250 0.3370  3 Cl 2.91-3.00, 3 Zn 3.07-3.16
Nd: 0.6068 0.0657 0.2136  4 Cl 2.79-2.96
Nd: 0.3932 0.9343 0.7864  4 Cl 2.79-2.96
Cl: 0.5388 0.7784 0.0775  3 Nd 2.79-2.95
Cl: 0.0884 0.3634 0.1768  4 Nd 2.96-3.00, 1 Zn 3.09
Cl: 0.9116 0.6366 0.8232  4 Nd 2.96-3.00, 1 Zn 3.09
Cl: 0.4612 0.2216 0.9225  3 Nd 2.79-2.95

Properties
* space group: No. 12

Number 1: calculated total energy -22.77 eV per cell. Number 2: calculated total energy -44.52 eV per cell.